A relaxed LiFe3O4 crystal. Source: Alexandria, functional PBE with a Hubbard U.

abc: 3.0436 5.3140 5.3237
angles: 109.46 90.49 90.55
Closest atoms and distances in Å follow each position.
Fractional coordinates of all 8 atoms:
Li 0.5000 0.5001 0.0000  6 O 2.21-2.28
O 0.4804 0.7583 0.7341  5 Fe 2.07-2.21, 1 Li 2.28
O 0.0082 0.2271 0.7354  4 Fe 2.08-2.21, 2 Li 2.21-2.28
O 0.9918 0.7731 0.2647  4 Fe 2.08-2.21, 2 Li 2.21-2.28
O 0.5197 0.2420 0.2660  5 Fe 2.07-2.21, 1 Li 2.28
Fe 0.0000 0.0001 0.0000  6 O 2.14-2.21
Fe 0.0000 0.5001 0.5000  6 O 2.09-2.21
Fe 0.5000 0.0001 0.5000  6 O 2.07-2.08

Values from the calculation:
**E**: -6.375 eV per atom
**SG**: No. 2